[1]
Material: Ni2RhW
Method: DFT, GGA-PBE
State: optimized geometry

Lattice parameters (Å, degrees): 2.6853 2.6853 25.6984 90.00 90.00 120.00
Space group R-3m (No. 166, hexagonal axes)
Unique sites:
1 Ni 0.0000 0.0000 0.2505 (multiplicity 6)
2 Rh 0.0000 0.0000 0.0000 (multiplicity 3)
3 W 0.0000 0.0000 0.5000 (multiplicity 3)

The energy above the most stable polymorph in this dataset comes out at 301 meV/atom. The calculation puts the formation enthalpy at 0 K at 0.15 eV per atom.



[2]
Material: BaCaMg2Ag
Method: DFT, GGA-PBE
State: optimized geometry

Lattice parameters (Å, degrees): 5.407 5.407 5.703 90.00 90.00 90.00
Space group P4/mmm (No. 123)
Unique sites:
1 Ba 0.000 0.000 0.000 (multiplicity 1)
2 Ca 0.500 0.500 0.000 (multiplicity 1)
3 Mg 0.000 0.500 0.500 (multiplicity 2)
4 Ag 0.500 0.500 0.500 (multiplicity 1)

The calculation puts the formation enthalpy at 0 K at -0.06 eV per atom.



[3]
Material: Sc2TaCr
Method: DFT, GGA-PBE
State: optimized geometry

Lattice parameters (Å, degrees): 3.295 4.925 9.364 90.00 90.00 90.00
Space group Imm2 (No. 44)
Unique sites:
1 Sc 0.000 0.000 0.000 (multiplicity 2)
2 Sc 0.000 0.500 0.213 (multiplicity 2)
3 Ta 0.000 0.500 0.784 (multiplicity 2)
4 Cr 0.000 0.000 0.472 (multiplicity 2)

The energy above the most stable polymorph in this dataset comes out at 67 meV/atom. The calculation puts the formation enthalpy at 0 K at 0.19 eV per atom.



[4]
Material: PrTmMg2Cd4
Method: DFT, GGA-PBE
State: optimized geometry

Lattice parameters (Å, degrees): 5.1218 5.1218 25.3176 90.00 90.00 120.00
Space group R-3m (No. 166, hexagonal axes)
Unique sites:
1 Pr 0.0000 0.0000 0.0000 (multiplicity 3)
2 Tm 0.0000 0.0000 0.5000 (multiplicity 3)
3 Mg 0.0000 0.0000 0.2494 (multiplicity 6)
4 Cd 0.0000 0.0000 0.1280 (multiplicity 6)
5 Cd 0.0000 0.0000 0.3790 (multiplicity 6)

The calculation puts the formation enthalpy at 0 K at -0.31 eV per atom.



[5]
Material: Y2TlCu2
Method: DFT, GGA-PBE
State: optimized geometry

Lattice parameters (Å, degrees): 5.426 5.426 7.983 90.00 90.00 90.00
Space group I4/mmm (No. 139)
Unique sites:
1 Y 0.000 0.500 0.250 (multiplicity 4)
2 Tl 0.000 0.000 0.000 (multiplicity 2)
3 Cu 0.000 0.000 0.360 (multiplicity 4)

The calculation puts the formation enthalpy at 0 K at -0.07 eV per atom.



[6]
Material: Rb2NbPdF6
Method: DFT, GGA-PBE
State: optimized geometry

Lattice parameters (Å, degrees): 7.041 7.041 8.420 90.00 90.00 90.00
Space group I4/mmm (No. 139)
Unique sites:
1 Rb 0.000 0.500 0.250 (multiplicity 4)
2 Nb 0.000 0.000 0.000 (multiplicity 2)
3 Pd 0.000 0.000 0.500 (multiplicity 2)
4 F 0.000 0.000 0.244 (multiplicity 4)
5 F 0.202 0.202 0.000 (multiplicity 8)

Its uncorrected formation energy is -2.31 eV per atom.



Number 1: total magnetic moment 1.60 μB per formula unit. Number 2: total magnetic moment 0.00 μB per formula unit. Number 3: total magnetic moment 0.04 μB per formula unit. Number 4: total magnetic moment 0.00 μB per formula unit. Number 5: total magnetic moment 0.00 μB per formula unit. Number 6: total magnetic moment 1.00 μB per formula unit.